# BeAg2Se

A relaxed BeAg2Se crystal (PBE, Alexandria).

Lattice parameters (Å, degrees): 4.1826 4.1826 6.3377 99.98 99.98 39.66
Closest atoms and distances in Å follow each position.
Sites, in units of the cell vectors:
1 Be 0.0000 0.0000 0.0000  6 Ag 2.43-2.66
2 Ag 0.2731 0.2731 0.8065  3 Be 2.43-2.66
3 Ag 0.7269 0.7269 0.1935  3 Be 2.43-2.66
4 Se 0.5000 0.5000 0.5000  2 Se 2.84, 6 Ag 2.87-2.98

Calculated values
Offset from the most stable computed form   0.238 eV per atom
E_form (uncorrected)   0.23 eV/atom
Theoretical density   7.252 Mg/m³